# 1
Here is crystalline Ca2YCuO4 at its relaxed geometry from Alexandria via LeMat-Bulk. Energies are from PBE.

Results
DFT total energy in eV/atom: -6.77
Spin magnetization in μB per formula unit: 0.07
Symmetry: P2/m (10)
Energy relative to the elements, uncorrected in eV/atom: -2.472

Cell lengths 3.3960, 5.7546, 5.8669 Å; angles 110.04, 90.00, 90.00 degrees
Positions (direct):
O: 0.0000 0.7311 0.2482
O: 0.5000 0.7387 0.7510
Y: 0.5000 0.5000 0.0000
O: 0.0000 0.2689 0.7518
Cu: 0.0000 0.0000 0.0000
Ca: 0.5000 0.0000 0.5000
O: 0.5000 0.2613 0.2490
Ca: 0.0000 0.5000 0.5000

# 2
Here is crystalline BaBi8Pd2 at its relaxed geometry from Alexandria via LeMat-Bulk. Energies are from PBE.

Results
DFT total energy in eV/atom: -4.11
Spin magnetization in μB per formula unit: 0.00
Symmetry: P4/mmm (123)

Cell lengths 6.5832, 6.5832, 9.4198 Å; angles 90.00, 90.00, 90.00 degrees
Positions (direct):
Pd: 0.0000 0.5000 0.0000
Bi: 0.2483 0.7517 0.1906
Bi: 0.2483 0.2483 0.1906
Bi: 0.7517 0.7517 0.1906
Bi: 0.7517 0.2483 0.8094
Bi: 0.7517 0.7517 0.8094
Bi: 0.2483 0.7517 0.8094
Ba: 0.5000 0.5000 0.5000
Bi: 0.2483 0.2483 0.8094
Pd: 0.5000 0.0000 0.0000
Bi: 0.7517 0.2483 0.1906

# 3
Here is crystalline LuScAg at its relaxed geometry from Alexandria via LeMat-Bulk. Energies are from PBE.

Results
Relative energy among the computed polymorphs in eV/atom: 0.000
DFT total energy in eV/atom: -4.73
Spin magnetization in μB per formula unit: 1.03
Symmetry: I4mm (107)

Cell lengths 3.4448, 3.4448, 6.4297 Å; angles 105.54, 105.54, 90.00 degrees
Positions (direct):
Lu: 0.0122 0.0122 0.0245
Ag: 0.6716 0.6716 0.3433
Sc: 0.3161 0.3161 0.6323

# 4
Here is crystalline Nd8SmEr5 at its relaxed geometry from Alexandria via LeMat-Bulk. Energies are from PBE.

Results
DFT total energy in eV/atom: -4.45
Spin magnetization in μB per formula unit: 0.00
Symmetry: I-4 (82)

Cell lengths 8.5719, 8.5719, 8.5719 Å; angles 111.41, 105.66, 111.41 degrees
Positions (direct):
Er: 0.8176 0.6873 0.7237
Nd: 0.0748 0.7419 0.4706
Nd: 0.6671 0.3958 0.9252
Nd: 0.5693 0.9114 0.8372
Sm: 0.2500 0.5000 0.7500
Nd: 0.5294 0.6042 0.2713
Er: 0.5000 0.0000 0.5000
Nd: 0.9258 0.0886 0.6579
Er: 0.2763 0.0939 0.9636
Nd: 0.1628 0.7322 0.0742
Er: 0.0364 0.3127 0.1303
Er: 0.8697 0.9061 0.1824
Nd: 0.7287 0.2581 0.3329
Nd: 0.3421 0.2678 0.4307

# 5
Here is crystalline HfSc2BiB at its relaxed geometry from Alexandria via LeMat-Bulk. Energies are from PBE.

Results
DFT total energy in eV/atom: -7.07
Spin magnetization in μB per formula unit: 0.00
Symmetry: P4/mmm (123)

Cell lengths 4.6795, 4.6795, 4.6364 Å; angles 90.00, 90.00, 90.00 degrees
Positions (direct):
Bi: 0.5000 0.5000 0.5000
Hf: 0.0000 0.0000 0.5000
Sc: 0.5000 0.0000 0.0000
Sc: 0.0000 0.5000 0.0000
B: 0.0000 0.0000 0.0000

# 6
Here is crystalline YZnIrRu at its relaxed geometry from Alexandria via LeMat-Bulk. Energies are from PBE.

Results
Relative energy among the computed polymorphs in eV/atom: 0.184
DFT total energy in eV/atom: -6.60
Spin magnetization in μB per formula unit: 0.00
Symmetry: Pmm2 (25)

Cell lengths 3.9631, 2.9450, 5.9005 Å; angles 90.00, 90.00, 90.00 degrees
Positions (direct):
Zn: 0.0000 0.0000 0.4537
Ir: 0.0000 0.0000 0.8809
Ru: 0.5000 0.5000 0.6655
Y: 0.5000 0.5000 0.1520

# 7
Here is crystalline MgPaGaRe at its relaxed geometry from Alexandria via LeMat-Bulk. Energies are from PBE.

Results
DFT total energy in eV/atom: -6.55
Spin magnetization in μB per formula unit: 0.00
Symmetry: F-43m (216)

Cell lengths 4.7776, 4.7776, 4.7776 Å; angles 60.00, 60.00, 60.00 degrees
Positions (direct):
Ga: 0.2500 0.2500 0.2500
Re: 0.7500 0.7500 0.7500
Pa: 0.0000 0.0000 0.0000
Mg: 0.5000 0.5000 0.5000

# 8
Here is crystalline Pm2P7Ru12 at its relaxed geometry from Alexandria via LeMat-Bulk. Energies are from PBE.

Results
DFT total energy in eV/atom: -8.30
Spin magnetization in μB per formula unit: 0.00
Symmetry: P-6 (174)

Cell lengths 3.9660, 9.4589, 9.4589 Å; angles 120.00, 90.00, 90.00 degrees
Positions (direct):
Ru: 0.5000 0.3833 0.2757
Pm: 0.0000 0.6667 0.3333
Ru: 0.0000 0.4422 0.5050
P: 0.0000 0.3333 0.6667
P: 0.0000 0.2216 0.2443
Ru: 0.0000 0.9752 0.2433
P: 0.0000 0.7557 0.9774
Ru: 0.0000 0.4950 0.9372
Ru: 0.5000 0.2463 0.7874
P: 0.0000 0.0226 0.7784
Ru: 0.5000 0.2126 0.4589
Ru: 0.5000 0.7243 0.1075
P: 0.5000 0.6175 0.5540
Ru: 0.0000 0.2681 0.0248
Ru: 0.0000 0.7567 0.7319
Ru: 0.5000 0.5411 0.7537
P: 0.5000 0.4460 0.0635
Ru: 0.5000 0.8925 0.6167
P: 0.5000 0.9365 0.3825
Ru: 0.0000 0.0628 0.5578
Pm: 0.5000 0.0000 0.0000

# 9
Here is crystalline CsReP2I at its relaxed geometry from Alexandria via LeMat-Bulk. Energies are from PBE.

Results
DFT total energy in eV/atom: -2.12
Spin magnetization in μB per formula unit: 0.91
Symmetry: P4/mmm (123)
Energy relative to the elements, uncorrected in eV/atom: 3.016

Cell lengths 5.2754, 6.5411, 5.2754 Å; angles 90.00, 90.00, 90.00 degrees
Positions (direct):
I: 0.0000 0.5000 0.0000
Re: 0.5000 0.5000 0.5000
P: 0.5000 0.0000 0.0000
Cs: 0.0000 0.0000 0.0000
P: 0.0000 0.0000 0.5000

# 10
Here is crystalline AcHoCdSb at its relaxed geometry from Alexandria via LeMat-Bulk. Energies are from PBE.

Results
DFT total energy in eV/atom: -3.92
Spin magnetization in μB per formula unit: 0.00
Symmetry: F-43m (216)
Energy relative to the elements, uncorrected in eV/atom: -0.494

Cell lengths 5.5474, 5.5474, 5.5474 Å; angles 60.00, 60.00, 60.00 degrees
Positions (direct):
Ho: 0.5000 0.5000 0.5000
Cd: 0.7500 0.7500 0.7500
Ac: 0.0000 0.0000 0.0000
Sb: 0.2500 0.2500 0.2500

# 11
Here is crystalline LaRhC2 at its relaxed geometry from Alexandria via LeMat-Bulk. Energies are from PBE.

Results
DFT total energy in eV/atom: -8.02
Spin magnetization in μB per formula unit: 0.00
Symmetry: P4_1 (76)

Cell lengths 3.9914, 3.9914, 15.4174 Å; angles 90.00, 90.00, 90.00 degrees
Positions (direct):
La: 0.8508 0.1484 0.1257
C: 0.8465 0.3462 0.5135
C: 0.1535 0.6538 0.0135
Rh: 0.3529 0.6591 0.2195
Rh: 0.3409 0.3529 0.4695
C: 0.3341 0.3507 0.3350
C: 0.6538 0.8465 0.7635
La: 0.1492 0.8516 0.6257
Rh: 0.6591 0.6471 0.9695
C: 0.6493 0.3341 0.5850
C: 0.3462 0.1535 0.2635
C: 0.3507 0.6659 0.0850
C: 0.6659 0.6493 0.8350
Rh: 0.6471 0.3409 0.7195
La: 0.1484 0.1492 0.8757
La: 0.8516 0.8508 0.3757

# 12
Here is crystalline Ca2Ta2Zn at its relaxed geometry from Alexandria via LeMat-Bulk. Energies are from PBE.

Results
Relative energy among the computed polymorphs in eV/atom: 0.394
DFT total energy in eV/atom: -4.87
Spin magnetization in μB per formula unit: 0.00
Symmetry: P4/mbm (127)

Cell lengths 9.2599, 9.2599, 3.1117 Å; angles 90.00, 90.00, 90.00 degrees
Positions (direct):
Ta: 0.4079 0.0921 0.5000
Ca: 0.3026 0.8026 0.0000
Ta: 0.5921 0.9079 0.5000
Ca: 0.8026 0.6974 0.0000
Ca: 0.1974 0.3026 0.0000
Ca: 0.6974 0.1974 0.0000
Ta: 0.0921 0.5921 0.5000
Zn: 0.5000 0.5000 0.0000
Ta: 0.9079 0.4079 0.5000
Zn: 0.0000 0.0000 0.0000

# 13
Here is crystalline ScMnMo2 at its relaxed geometry from Alexandria via LeMat-Bulk. Energies are from PBE.

Results
Relative energy among the computed polymorphs in eV/atom: 0.262
DFT total energy in eV/atom: -8.98
Spin magnetization in μB per formula unit: 2.53
Symmetry: Cmmm (65)

Cell lengths 5.2809, 5.2809, 2.6945 Å; angles 90.00, 90.00, 119.64 degrees
Positions (direct):
Sc: 0.5000 0.0000 0.5000
Mo: 0.5000 0.5000 0.0000
Mn: 0.0000 0.5000 0.5000
Mo: 0.0000 0.0000 0.0000

# 14
Here is crystalline AcTbNdGd at its relaxed geometry from Alexandria via LeMat-Bulk. Energies are from PBE.

Results
DFT total energy in eV/atom: -6.76
Spin magnetization in μB per formula unit: 8.79
Symmetry: F-43m (216)

Cell lengths 5.8958, 5.8958, 5.8958 Å; angles 60.00, 60.00, 60.00 degrees
Positions (direct):
Ac: 0.5000 0.5000 0.5000
Tb: 0.0000 0.0000 0.0000
Nd: 0.2500 0.2500 0.2500
Gd: 0.7500 0.7500 0.7500

# 15
Here is crystalline FePtI2N at its relaxed geometry from Alexandria via LeMat-Bulk. Energies are from PBE.

Results
Relative energy among the computed polymorphs in eV/atom: 0.212
DFT total energy in eV/atom: -4.31
Spin magnetization in μB per formula unit: 3.46
Symmetry: P4/mmm (123)
Energy relative to the elements, uncorrected in eV/atom: 0.876

Cell lengths 5.7273, 5.7273, 3.7185 Å; angles 90.00, 90.00, 90.00 degrees
Positions (direct):
Pt: 0.0000 0.0000 0.0000
N: 0.0000 0.0000 0.5000
Fe: 0.5000 0.5000 0.5000
I: 0.0000 0.5000 0.0000
I: 0.5000 0.0000 0.0000

# 16
Here is crystalline V3ZnTe at its relaxed geometry from Alexandria via LeMat-Bulk. Energies are from PBE.

Results
Relative energy among the computed polymorphs in eV/atom: 0.316
DFT total energy in eV/atom: -5.04
Spin magnetization in μB per formula unit: 5.57
Symmetry: Pm-3m (221)
Energy relative to the elements, uncorrected in eV/atom: 1.310

Cell lengths 4.8693, 4.8693, 4.8693 Å; angles 90.00, 90.00, 90.00 degrees
Positions (direct):
Te: 0.0000 0.0000 0.0000
V: 0.0000 0.5000 0.0000
Zn: 0.5000 0.5000 0.5000
V: 0.5000 0.0000 0.0000
V: 0.0000 0.0000 0.5000

# 17
Here is crystalline Ho2TmHg4 at its relaxed geometry from Alexandria via LeMat-Bulk. Energies are from PBE.

Results
Relative energy among the computed polymorphs in eV/atom: 0.372
DFT total energy in eV/atom: -2.08
Spin magnetization in μB per formula unit: 0.00
Symmetry: I4/mmm (139)

Cell lengths 5.5604, 5.5604, 8.5675 Å; angles 108.94, 108.94, 90.00 degrees
Positions (direct):
Hg: 0.0000 0.5000 0.0000
Hg: 0.5000 0.0000 0.0000
Hg: 0.1979 0.1979 0.3958
Ho: 0.3970 0.3970 0.7939
Hg: 0.8021 0.8021 0.6042
Ho: 0.6030 0.6030 0.2061
Tm: 0.0000 0.0000 0.0000

# 18
Here is crystalline TlPW2I at its relaxed geometry from Alexandria via LeMat-Bulk. Energies are from PBE.

Results
DFT total energy in eV/atom: -5.70
Spin magnetization in μB per formula unit: 2.70
Symmetry: P4/mmm (123)
Energy relative to the elements, uncorrected in eV/atom: 1.344

Cell lengths 4.5626, 7.2484, 4.5626 Å; angles 90.00, 90.00, 90.00 degrees
Positions (direct):
W: 0.0000 0.0000 0.5000
I: 0.0000 0.5000 0.0000
P: 0.0000 0.0000 0.0000
W: 0.5000 0.0000 0.0000
Tl: 0.5000 0.5000 0.5000

# 19
Here is crystalline AlSe2Br at its relaxed geometry from Alexandria via LeMat-Bulk. Energies are from PBE.

Results
Relative energy among the computed polymorphs in eV/atom: 0.639
DFT total energy in eV/atom: -3.03
Spin magnetization in μB per formula unit: 0.00
Symmetry: I4/mmm (139)
Energy relative to the elements, uncorrected in eV/atom: 0.064

Cell lengths 7.2318, 7.2318, 7.2318 Å; angles 148.82, 148.82, 44.68 degrees
Positions (direct):
Se: 0.5000 0.5000 0.0000
Br: 0.7500 0.2500 0.5000
Se: 0.0000 0.0000 0.0000
Al: 0.2500 0.7500 0.5000

# 20
Here is crystalline SrAl4Au12 at its relaxed geometry from Alexandria via LeMat-Bulk. Energies are from PBE.

Results
DFT total energy in eV/atom: -3.49
Spin magnetization in μB per formula unit: 0.00
Symmetry: Im-3 (204)

Cell lengths 7.7730, 7.7730, 7.7730 Å; angles 109.47, 109.47, 109.47 degrees
Positions (direct):
Al: 0.0000 0.0000 0.5000
Au: 0.1584 0.6554 0.8138
Au: 0.3446 0.5030 0.1584
Al: 0.5000 0.5000 0.5000
Al: 0.0000 0.5000 0.0000
Au: 0.6554 0.4970 0.8416
Au: 0.3446 0.1862 0.8416
Al: 0.5000 0.0000 0.0000
Au: 0.5030 0.1584 0.3446
Au: 0.8138 0.1584 0.6554
Sr: 0.0000 0.0000 0.0000
Au: 0.1584 0.3446 0.5030
Au: 0.8416 0.6554 0.4970
Au: 0.1862 0.8416 0.3446
Au: 0.4970 0.8416 0.6554
Au: 0.6554 0.8138 0.1584
Au: 0.8416 0.3446 0.1862

# 21
Here is crystalline AlHO at its relaxed geometry from Alexandria via LeMat-Bulk. Energies are from PBE.

Results
Relative energy among the computed polymorphs in eV/atom: 0.001
DFT total energy in eV/atom: -5.66
Spin magnetization in μB per formula unit: 0.00
Symmetry: Cm (8)

Cell lengths 4.9161, 2.8728, 9.5363 Å; angles 90.00, 104.25, 90.00 degrees
Positions (direct):
Al: 0.1806 0.0000 0.8020
O: 0.5413 0.0000 0.9253
H: 0.8734 0.0000 0.6457
H: 0.2825 0.5000 0.7053
O: 0.0270 0.5000 0.8832
Al: 0.1806 0.5000 0.3020
H: 0.2825 0.0000 0.2053
Al: 0.7506 0.5000 0.9702
O: 0.0270 0.0000 0.3832
Al: 0.7506 0.0000 0.4702
H: 0.8734 0.5000 0.1457
O: 0.5413 0.5000 0.4253

# 22
Here is crystalline FeTcOs at its relaxed geometry from Alexandria via LeMat-Bulk. Energies are from PBE.

Results
Relative energy among the computed polymorphs in eV/atom: 0.049
DFT total energy in eV/atom: -9.98
Spin magnetization in μB per formula unit: 0.12
Symmetry: C2 (5)

Cell lengths 4.9915, 4.6711, 8.0553 Å; angles 90.00, 122.37, 90.00 degrees
Positions (direct):
Fe: 0.4931 0.6490 0.3321
Tc: 0.5000 0.1502 0.5000
Fe: 0.5069 0.6490 0.6679
Fe: 0.5069 0.1490 0.1679
Tc: 0.5000 0.6502 0.0000
Tc: 0.0000 0.4766 0.0000
Os: 0.0023 0.4837 0.6649
Os: 0.9977 0.9837 0.8351
Os: 0.0023 0.9837 0.1649
Tc: 0.0000 0.9766 0.5000
Fe: 0.4931 0.1490 0.8321
Os: 0.9977 0.4837 0.3351

# 23
Here is crystalline Ca2LaGeS4Cl3 at its relaxed geometry from Alexandria via LeMat-Bulk. Energies are from PBE.

Results
DFT total energy in eV/atom: -5.01
Spin magnetization in μB per formula unit: 0.00
Symmetry: Cmc2_1 (36)
Energy relative to the elements, uncorrected in eV/atom: -1.776

Cell lengths 9.9304, 9.9304, 6.3905 Å; angles 90.00, 90.00, 122.97 degrees
Positions (direct):
Ge: 0.6581 0.3419 0.5021
Ca: 0.2042 0.3672 0.4250
S: 0.4615 0.5385 0.1280
Cl: 0.8763 0.1237 0.3388
S: 0.5308 0.0983 0.6519
S: 0.5385 0.4615 0.6280
Ca: 0.3672 0.2042 0.9250
Ca: 0.6328 0.7958 0.4250
S: 0.3373 0.6627 0.6500
Cl: 0.2432 0.1150 0.3221
S: 0.6627 0.3373 0.1500
Cl: 0.8850 0.7568 0.3221
S: 0.9017 0.4692 0.6519
Cl: 0.1150 0.2432 0.8221
Ge: 0.3419 0.6581 0.0021
Cl: 0.1237 0.8763 0.8388
Ca: 0.7958 0.6328 0.9250
Cl: 0.7568 0.8850 0.8221
La: 0.8067 0.1933 0.9335
S: 0.4692 0.9017 0.1519
La: 0.1933 0.8067 0.4335
S: 0.0983 0.5308 0.1519